# 1
Compound: Rb2IN
Source: the Alexandria database
Functional: meta-GGA SCAN
Structure: PBEsol geometry

Cell and atoms, written as POSCAR:
```
Rb2IN
1.0
-4.145 1.973 3.504
-3.521 -3.709 2.682
0.430 -0.778 5.706
Rb I N
2 1 1
direct
0.250 0.250 0.250
0.750 0.750 0.750
0.500 0.500 0.500
0.000 0.000 0.000
```

- ρ (g cm⁻³) = 3.80
- energy (eV per atom) = -21.90
- volume (Å³/atom) = 34.05
- raw formation energy (kJ per mole of atoms) = -2.0

# 2
Compound: Na3CCl
Source: the Alexandria database
Functional: meta-GGA SCAN
Structure: PBEsol geometry

Cell and atoms, written as POSCAR:
```
Na3CCl
1.0
-2.476 -3.239 2.617
-1.036 -2.469 -4.037
4.033 -2.623 0.569
Na Cl C
3 1 1
direct
0.500 0.000 0.000
0.000 0.000 0.500
0.000 0.500 0.000
0.500 0.500 0.500
0.000 0.000 0.000
```

- ρ (g cm⁻³) = 1.70
- energy (eV per atom) = -6.06
- volume (Å³/atom) = 22.74
- raw formation energy (kJ per mole of atoms) = 7.8

Repeat the first record exactly.
Compound: Rb2IN
Source: the Alexandria database
Functional: meta-GGA SCAN
Structure: PBEsol geometry

Cell and atoms, written as POSCAR:
```
Rb2IN
1.0
-4.145 1.973 3.504
-3.521 -3.709 2.682
0.430 -0.778 5.706
Rb I N
2 1 1
direct
0.250 0.250 0.250
0.750 0.750 0.750
0.500 0.500 0.500
0.000 0.000 0.000
```

- ρ (g cm⁻³) = 3.80
- energy (eV per atom) = -21.90
- volume (Å³/atom) = 34.05
- raw formation energy (kJ per mole of atoms) = -2.0